Here is an optimized crystal structure of LaPtCl from Alexandria via LeMat-Bulk. Energies are from PBE-GGA.

Summary:
Crystal system = monoclinic
Formation energy (no corrections) = -1668 meV per atom
Energy above the lowest structure with this stoichiometry = 0 meV/atom

Lattice parameters (Å, degrees): 4.3362 4.3362 10.9789 90.06 101.35 119.95
Element x y z (fractional)
Pt 0.6996 0.8497 0.5494
Cl 0.5661 0.2834 0.8495
La 0.1301 0.5649 0.6950
Cl 0.4339 0.7166 0.1505
Pt 0.3004 0.1503 0.4506
La 0.8699 0.4351 0.3050